This record from Alexandria via LeMat-Bulk describes an optimized crystal structure of BSb2TeMo. The functional is PBE-GGA.

abc: 4.7476 4.7476 4.7920
angles: 90.00 90.00 90.00
With the nearest neighbours (Å) after each atom.
Fractional coordinates of all 5 atoms:
B (0.0000, 0.0000, 0.0000)  4 Sb 2.37, 2 Te 2.40
Sb (0.0000, 0.5000, 0.0000)  2 B 2.37
Sb (0.5000, 0.0000, 0.0000)  2 B 2.37
Te (0.0000, 0.0000, 0.5000)  2 B 2.40
Mo (0.5000, 0.5000, 0.5000)  4 Te 3.36, 8 Sb 3.37

## Properties
ΔE_f (raw) = 1.118 eV/atom
spin magnetization = 2.60 μB per formula unit
energy above the most stable polymorph in this dataset = 0.0 meV/atom
E_tot = -4.66 eV per atom
crystal system = tetragonal